Entry 1:
Density functional theory data (GGA-PBE) for a relaxed KSnO2F crystal.

Calculated values
Calculated volume, Å³/cell: 290
Energy relative to the elements, uncorrected, eV per atom: -1.894

Cell: 5.674 5.674 9.003 Å, 90.00 90.00 90.00°
Space group I4/mcm (No. 140)
One atom of each set of equivalent atoms:
K (0.000, 0.500, 0.250) x4
Sn (0.000, 0.000, 0.000) x4
O (0.208, 0.292, 0.000) x8
F (0.000, 0.000, 0.250) x4


Entry 2:
Density functional theory data (GGA-PBE) for a relaxed Tl2PCl6 crystal.

Calculated values
Calculated volume, Å³/cell: 975
D(E_F), states/eV per atom: 0.44
Energy above the lowest structure with this stoichiometry, kJ/mol of atoms: 0.00
Energy relative to the elements, uncorrected, eV per atom: -0.733

Cell: 9.917 9.917 9.917 Å, 90.00 90.00 90.00°
Space group Fm-3m (No. 225)
One atom of each set of equivalent atoms:
Tl (0.250, 0.250, 0.250) x8
P (0.000, 0.000, 0.000) x4
Cl (0.000, 0.000, 0.232) x24


Entry 3:
Density functional theory data (GGA-PBE) for a relaxed NdDy3Y5 crystal.

Calculated values
Calculated volume, Å³/cell: 582
D(E_F), states/eV per atom: 1.68
Energy above the lowest structure with this stoichiometry, kJ/mol of atoms: 0.00
Calculated formation energy, meV per atom: 65.5

Cell: 9.7713 9.7713 7.0343 Å, 90.00 90.00 120.00°
Space group P6_3/mcm (No. 193)
One atom of each set of equivalent atoms:
Nd (0.0000, 0.0000, 0.0000) x2
Dy (0.0000, 0.3480, 0.2500) x6
Y (0.0000, 0.3220, 0.7500) x6
Y (0.3333, 0.6667, 0.0000) x4


Entry 4:
Density functional theory data (GGA-PBE) for a relaxed TcHPd2Au crystal.

Calculated values
Calculated volume, Å³/cell: 67
D(E_F), states/eV per atom: 0.89
DFT total energy, eV per atom: -5.261

Cell: 4.083 4.083 4.040 Å, 90.00 90.00 90.00°
Space group P4/mmm (No. 123)
One atom of each set of equivalent atoms:
Tc (0.000, 0.000, 0.000) x1
H (0.000, 0.000, 0.500) x1
Pd (0.000, 0.500, 0.500) x2
Au (0.500, 0.500, 0.000) x1


Entry 5:
Density functional theory data (GGA-PBE) for a relaxed K2NiBr2Cl2 crystal.

Calculated values
Calculated volume, Å³/cell: 451
Energy relative to the elements, uncorrected, eV per atom: -1.240

Cell: 8.642 10.737 6.498 Å, 90.00 131.62 90.00°
Space group C2/m (No. 12)
One atom of each set of equivalent atoms:
K (0.000, 0.249, 0.000) x4
Ni (0.000, 0.500, 0.500) x2
Br (0.242, 0.500, 0.985) x4
Cl (0.000, 0.296, 0.500) x4


Entry 6:
Density functional theory data (GGA-PBE) for a relaxed IrPtCl2 crystal.

Calculated values
Calculated volume, Å³/cell: 135
D(E_F), states/eV per atom: 1.16
Energy above the lowest structure with this stoichiometry, kJ/mol of atoms: 108.37
Energy relative to the elements, uncorrected, eV per atom: 1.137

Cell: 4.156 4.156 7.797 Å, 90.00 90.00 90.00°
Space group I4/mmm (No. 139)
One atom of each set of equivalent atoms:
Ir (0.000, 0.000, 0.000) x2
Pt (0.000, 0.000, 0.500) x2
Cl (0.000, 0.500, 0.250) x4